Zr4IrN | PBE-GGA | optimized geometry

a b c (Å): 6.397 6.039 5.943
angles (deg): 90.00 99.92 90.00
Fractional coordinates of all 12 atoms:
Zr (0.385, 0.864, 0.166)
Zr (0.690, 0.661, 0.608)
Zr (0.885, 0.636, 0.166)
Zr (0.310, 0.339, 0.392)
Zr (0.810, 0.161, 0.392)
Zr (0.190, 0.839, 0.608)
Zr (0.615, 0.136, 0.834)
Zr (0.115, 0.364, 0.834)
Ir (0.000, 0.000, 0.000)
Ir (0.500, 0.500, 0.000)
N (0.500, 0.000, 0.500)
N (0.000, 0.500, 0.500)

Results
The value obtained for the total magnetic moment is 0.000 μB/atom. Its density of states at the Fermi level is 0.808 states/eV per atom. The formation energy from raw total energies comes out at -755 meV per atom.